1.
AgBiIr2Au | PBE-GGA | relaxed

Output
ρ (Mg/m³): 11.3
ΔE_f (meV/atom): 1649
Space-group type: P4/mmm (123)

Lattice parameters (Å, degrees): 4.9968 5.2838 4.9968 90.00 90.00 90.00
Fractional coordinates of all 5 atoms:
Ir: 0.0000 0.0000 0.5000
Ir: 0.5000 0.0000 0.0000
Au: 0.0000 0.5000 0.0000
Bi: 0.0000 0.0000 0.0000
Ag: 0.5000 0.5000 0.5000

***

2.
KAgBi3Au | PBE-GGA | relaxed

Output
ρ (Mg/m³): 7.5
ΔE_f (meV/atom): 64
Space-group type: Cmcm (63)

Lattice parameters (Å, degrees): 7.0847 7.0990 9.3010 112.43 90.00 90.00
Fractional coordinates of all 12 atoms:
K: 0.7500 0.3122 0.6244
K: 0.2500 0.6878 0.3756
Ag: 0.2500 0.0919 0.1838
Ag: 0.7500 0.9081 0.8162
Bi: 0.2500 0.2532 0.5064
Bi: 0.0000 0.2515 0.0000
Bi: 0.5000 0.7485 0.0000
Bi: 0.5000 0.2515 0.0000
Bi: 0.0000 0.7485 0.0000
Bi: 0.7500 0.7468 0.4936
Au: 0.2500 0.4118 0.8235
Au: 0.7500 0.5882 0.1765

***

3.
K2AgBi4Au3 | PBE-GGA | relaxed

Output
ρ (Mg/m³): 9.0
ΔE_f (meV/atom): -214
Space-group type: P-4m2 (115)

Lattice parameters (Å, degrees): 4.9894 4.9894 11.8968 90.00 90.00 90.00
Fractional coordinates of all 10 atoms:
K: 0.5000 0.0000 0.2594
K: 0.0000 0.5000 0.7406
Ag: 0.5000 0.5000 0.5000
Bi: 0.5000 0.5000 0.0000
Bi: 0.0000 0.0000 0.0000
Bi: 0.5000 0.0000 0.6282
Bi: 0.0000 0.5000 0.3718
Au: 0.0000 0.0000 0.5000
Au: 0.5000 0.0000 0.8647
Au: 0.0000 0.5000 0.1353

***

4.
LiAgBiAu | PBE-GGA | relaxed

Output
ρ (Mg/m³): 10.7
ΔE to the lowest computed polymorph (meV per atom): 0.0
ΔE_f (meV/atom): -203
Space-group type: I-4m2 (119)

Lattice parameters (Å, degrees): 4.4413 4.4414 5.1673 115.44 115.45 90.00
Fractional coordinates of all 4 atoms:
Li: 0.0000 0.0006 0.0000
Ag: 0.7500 0.2499 0.5000
Bi: 0.2500 0.7500 0.5000
Au: 0.5000 0.4996 0.0000

***

5.
LiAgBiAu | PBE-GGA | relaxed

Output
ρ (Mg/m³): 10.4
ΔE to the lowest computed polymorph (meV per atom): 23.3
ΔE_f (meV/atom): -180
Space-group type: F-43m (216)

Lattice parameters (Å, degrees): 4.8966 4.8966 4.8966 60.00 60.00 60.00
Fractional coordinates of all 4 atoms:
Au: 0.5000 0.5000 0.5000
Bi: 0.7500 0.7500 0.7500
Ag: 0.0000 0.0000 0.0000
Li: 0.2500 0.2500 0.2500

***

6.
Mg2AgBiAu | PBE-GGA | relaxed

Output
ρ (Mg/m³): 5.8
ΔE_f (meV/atom): 467
Space-group type: P4/mmm (123)

Lattice parameters (Å, degrees): 5.5170 5.3327 5.5170 90.00 90.00 90.00
Fractional coordinates of all 5 atoms:
Mg: 0.0000 0.0000 0.5000
Mg: 0.5000 0.0000 0.0000
Au: 0.5000 0.5000 0.5000
Bi: 0.0000 0.0000 0.0000
Ag: 0.0000 0.5000 0.0000

***

7.
MnAgBiAu | PBE-GGA | relaxed

Output
ρ (Mg/m³): 11.6
ΔE_f (meV/atom): 192
Space-group type: F-43m (216)

Lattice parameters (Å, degrees): 4.8657 4.8657 4.8657 60.00 60.00 60.00
Each line ends with the local moment (μB).
Fractional coordinates of all 4 atoms:
Mn: 0.5000 0.5000 0.5000  3.92
Au: 0.2500 0.2500 0.2500  0.01
Bi: 0.7500 0.7500 0.7500  -0.11
Ag: 0.0000 0.0000 0.0000  0.01

***

8.
NaAgBiAu | PBE-GGA | relaxed

Output
ρ (Mg/m³): 9.9
ΔE_f (meV/atom): -121
Space-group type: F-43m (216)

Lattice parameters (Å, degrees): 5.0303 5.0303 5.0303 60.00 60.00 60.00
Fractional coordinates of all 4 atoms:
Na: 0.5000 0.5000 0.5000
Au: 0.7500 0.7500 0.7500
Bi: 0.0000 0.0000 0.0000
Ag: 0.2500 0.2500 0.2500

***

9.
NdAgBiAu | PBE-GGA | relaxed

Output
ρ (Mg/m³): 11.1
ΔE_f (meV/atom): -449
Space-group type: F-43m (216)

Lattice parameters (Å, degrees): 5.1878 5.1878 5.1878 60.00 60.00 60.00
Fractional coordinates of all 4 atoms:
Nd: 0.0000 0.0000 0.0000
Au: 0.7500 0.7500 0.7500
Bi: 0.5000 0.5000 0.5000
Ag: 0.2500 0.2500 0.2500

***

10.
NiAgBiAu2 | PBE-GGA | relaxed

Output
ρ (Mg/m³): 9.2
ΔE_f (meV/atom): 855
Space-group type: P4/mmm (123)

Lattice parameters (Å, degrees): 5.3661 4.8366 5.3661 90.00 90.00 90.00
Fractional coordinates of all 5 atoms:
Ni: 0.0000 0.5000 0.0000
Au: 0.0000 0.0000 0.5000
Au: 0.5000 0.0000 0.0000
Bi: 0.0000 0.0000 0.0000
Ag: 0.5000 0.5000 0.5000

***

11.
NpAgBiAu | PBE-GGA | relaxed

Output
ρ (Mg/m³): 13.1
ΔE_f (meV/atom): 17
Space-group type: F-43m (216)

Lattice parameters (Å, degrees): 5.1198 5.1198 5.1198 60.00 60.00 60.00
Each line ends with the local moment (μB).
Fractional coordinates of all 4 atoms:
Np: 0.0000 0.0000 0.0000  3.94
Au: 0.7500 0.7500 0.7500  -0.03
Bi: 0.2500 0.2500 0.2500  -0.04
Ag: 0.5000 0.5000 0.5000  0.01

***

12.
AgBiAuO4 | PBE-GGA | relaxed

Output
ρ (Mg/m³): 8.3
Formation energy (no corrections) (kJ per mole of atoms): -37.40
Space-group type: Imma (74)

Lattice parameters (Å, degrees): 6.2427 7.1656 6.7608 118.15 90.00 115.82
Fractional coordinates of all 14 atoms:
Ag: 0.8374 0.6748 0.0874
Ag: 0.1626 0.3252 0.9126
Bi: 0.5000 0.0000 0.5000
Bi: 0.5000 0.0000 0.0000
Au: 0.5000 0.5000 0.5000
Au: 0.0000 0.5000 0.5000
O: 0.7129 0.4257 0.6597
O: 0.2482 0.9494 0.2247
O: 0.7012 0.9494 0.2247
O: 0.7129 0.4257 0.2661
O: 0.2871 0.5743 0.7339
O: 0.7518 0.0506 0.7753
O: 0.2988 0.0506 0.7753
O: 0.2871 0.5743 0.3403

***

13.
AgBi2OsAu | PBE-GGA | relaxed

Output
ρ (Mg/m³): 10.6
ΔE_f (meV/atom): 1582
Space-group type: P4/mmm (123)

Lattice parameters (Å, degrees): 5.3504 4.9902 5.3504 90.00 90.00 90.00
Each line ends with the local moment (μB).
Fractional coordinates of all 5 atoms:
Os: 0.5000 0.5000 0.5000  2.30
Au: 0.0000 0.5000 0.0000  0.03
Bi: 0.0000 0.0000 0.5000  -0.07
Bi: 0.5000 0.0000 0.0000  -0.10
Ag: 0.0000 0.0000 0.0000  0.00

***

14.
PaAgBiAu | PBE-GGA | relaxed

Output
ρ (Mg/m³): 13.0
ΔE_f (meV/atom): -64
Space-group type: F-43m (216)

Lattice parameters (Å, degrees): 5.1296 5.1296 5.1296 60.00 60.00 60.00
Each line ends with the local moment (μB).
Fractional coordinates of all 4 atoms:
Pa: 0.7500 0.7500 0.7500  0.91
Au: 0.5000 0.5000 0.5000  0.00
Bi: 0.0000 0.0000 0.0000  0.04
Ag: 0.2500 0.2500 0.2500  0.01